w) Crystalline TbPaOs2 at its relaxed geometry, computed with GGA-PBE.

Properties
spin magnetization = 0.000 μB per atom
symmetry = No. 123

Unit cell a=3.4874 b=3.4874 c=6.7871 alpha=90.00 beta=90.00 gamma=90.00
Atoms (fractional coordinates):
Tb1 0.5000 0.5000 0.5000
Pa1 0.5000 0.5000 0.0000
Os1 0.0000 0.0000 0.7748
Os2 0.0000 0.0000 0.2252

=====

x) Crystalline TbPaOs2 at its relaxed geometry, computed with GGA-PBE.

Properties
spin magnetization = 0.000 μB per atom
symmetry = No. 225

Unit cell a=4.8652 b=4.8652 c=4.8652 alpha=60.00 beta=60.00 gamma=60.00
Atoms (fractional coordinates):
Tb1 0.0000 0.0000 0.0000
Pa1 0.5000 0.5000 0.5000
Os1 0.2500 0.2500 0.2500
Os2 0.7500 0.7500 0.7500

=====

Most stable structure: w)

=====

w) Crystalline TbPaOs2 at its relaxed geometry, computed with GGA-PBE.

Properties
spin magnetization = 0.000 μB per atom
symmetry = No. 166

Unit cell a=3.6621 b=3.6621 c=7.8965 alpha=76.59 beta=76.59 gamma=60.00
Atoms (fractional coordinates):
Tb1 0.5000 0.5000 0.5000
Pa1 0.0000 0.0000 0.0000
Os1 0.7437 0.7437 0.7688
Os2 0.2563 0.2563 0.2312

=====

x) Crystalline TbPaOs2 at its relaxed geometry, computed with GGA-PBE.

Properties
spin magnetization = 0.000 μB per atom
symmetry = No. 13

Unit cell a=5.9429 b=5.7919 c=10.4116 alpha=101.76 beta=90.00 gamma=90.00
Atoms (fractional coordinates):
Tb1 0.3582 0.0457 0.3513
Tb2 0.6418 0.9543 0.6487
Tb3 0.3582 0.4543 0.1487
Tb4 0.6418 0.5457 0.8513
Pa1 0.1431 0.4580 0.6457
Pa2 0.8569 0.5420 0.3543
Pa3 0.1431 0.0420 0.8543
Pa4 0.8569 0.9580 0.1457
Os1 0.6703 0.0785 0.9446
Os2 0.3297 0.9215 0.0554
Os3 0.6703 0.4215 0.5554
Os4 0.3297 0.5785 0.4446
Os5 0.8652 0.4563 0.1001
Os6 0.1348 0.5437 0.8999
Os7 0.8652 0.0437 0.3999
Os8 0.1348 0.9563 0.6001

=====

Most stable structure: x)

=====

w) Crystalline PaTc2Os at its relaxed geometry, computed with GGA-PBE.

Properties
spin magnetization = 0.000 μB per atom
symmetry = No. 166

Unit cell a=4.6230 b=4.6230 c=4.6145 alpha=59.94 beta=59.94 gamma=60.00
Atoms (fractional coordinates):
Pa1 0.5000 0.5000 0.5000
Os1 0.0000 0.0000 0.0000
Tc1 0.2775 0.2775 0.1676
Tc2 0.7225 0.7225 0.8324

=====

x) Crystalline PaTc2Os at its relaxed geometry, computed with GGA-PBE.

Properties
spin magnetization = 0.000 μB per atom
symmetry = No. 123

Unit cell a=4.0909 b=4.0802 c=4.0802 alpha=90.00 beta=90.00 gamma=90.00
Atoms (fractional coordinates):
Pa1 0.5000 0.5000 0.5000
Os1 0.5000 0.0000 0.0000
Tc1 0.0000 0.0000 0.5000
Tc2 0.0000 0.5000 0.0000

=====

y) Crystalline PaTc2Os at its relaxed geometry, computed with GGA-PBE.

Properties
spin magnetization = 0.001 μB per atom
symmetry = No. 123

Unit cell a=3.4110 b=3.4110 c=5.8825 alpha=90.00 beta=90.00 gamma=90.00
Atoms (fractional coordinates):
Pa1 0.5000 0.5000 0.0000
Os1 0.5000 0.5000 0.5000
Tc1 0.0000 0.0000 0.7387
Tc2 0.0000 0.0000 0.2613

=====

Most stable structure: x)

=====

w) Crystalline PaTcOs2 at its relaxed geometry, computed with GGA-PBE.

Properties
spin magnetization = 0.000 μB per atom
symmetry = No. 123

Unit cell a=4.0872 b=4.0760 c=4.0760 alpha=90.00 beta=90.00 gamma=90.00
Atoms (fractional coordinates):
Pa1 0.5000 0.5000 0.5000
Os1 0.0000 0.0000 0.5000
Os2 0.0000 0.5000 0.0000
Tc1 0.5000 0.0000 0.0000

=====

x) Crystalline PaTcOs2 at its relaxed geometry, computed with GGA-PBE.

Properties
spin magnetization = 0.000 μB per atom
symmetry = No. 166

Unit cell a=4.5150 b=4.5150 c=5.2607 alpha=64.59 beta=64.59 gamma=60.00
Atoms (fractional coordinates):
Pa1 0.0000 0.0000 0.0000
Os1 0.8096 0.8096 0.5713
Os2 0.1904 0.1904 0.4287
Tc1 0.5000 0.5000 0.5000

=====

Most stable structure: w)

=====

w) Crystalline ThPaOs2 at its relaxed geometry, computed with GGA-PBE.

Properties
spin magnetization = 0.000 μB per atom
symmetry = No. 225

Unit cell a=4.9523 b=4.9523 c=4.9523 alpha=60.00 beta=60.00 gamma=60.00
Atoms (fractional coordinates):
Pa1 0.0000 0.0000 0.0000
Os1 0.2500 0.2500 0.2500
Os2 0.7500 0.7500 0.7500
Th1 0.5000 0.5000 0.5000

=====

x) Crystalline ThPaOs2 at its relaxed geometry, computed with GGA-PBE.

Properties
spin magnetization = 0.000 μB per atom
symmetry = No. 166

Unit cell a=4.0234 b=4.0234 c=7.0144 alpha=73.33 beta=73.33 gamma=60.00
Atoms (fractional coordinates):
Pa1 0.0000 0.0000 0.0000
Os1 0.2547 0.2547 0.2359
Os2 0.7453 0.7453 0.7641
Th1 0.5000 0.5000 0.5000

=====

Most stable structure: x)

=====

w) Crystalline PaTiOs at its relaxed geometry, computed with GGA-PBE.

Properties
spin magnetization = 0.000 μB per atom
symmetry = No. 166

Unit cell a=4.2271 b=4.2271 c=7.9402 alpha=74.56 beta=74.56 gamma=60.00
Atoms (fractional coordinates):
Os1 0.0624 0.0624 0.8129
Os2 0.9376 0.9376 0.1871
Ti1 0.6411 0.6411 0.0767
Ti2 0.3589 0.3589 0.9233
Pa1 0.2062 0.2062 0.3813
Pa2 0.7938 0.7938 0.6187

=====

x) Crystalline PaTiOs at its relaxed geometry, computed with GGA-PBE.

Properties
spin magnetization = 0.000 μB per atom
symmetry = No. 156

Unit cell a=2.9644 b=4.5902 c=4.5902 alpha=120.00 beta=90.00 gamma=90.00
Atoms (fractional coordinates):
Pa1 0.6626 0.3333 0.6667
Os1 0.3556 0.6667 0.3333
Ti1 0.9818 0.0000 0.0000

=====

Most stable structure: w)

=====

w) Crystalline Pa2TiOs at its relaxed geometry, computed with GGA-PBE.

Properties
spin magnetization = 0.000 μB per atom
symmetry = No. 166

Unit cell a=3.0180 b=3.0180 c=10.4116 alpha=81.67 beta=81.67 gamma=60.00
Atoms (fractional coordinates):
Pa1 0.4104 0.4104 0.7687
Pa2 0.5896 0.5896 0.2313
Os1 0.0000 0.0000 0.0000
Ti1 0.5000 0.5000 0.5000

=====

x) Crystalline Pa2TiOs at its relaxed geometry, computed with GGA-PBE.

Properties
spin magnetization = 0.001 μB per atom
symmetry = No. 123

Unit cell a=3.6479 b=4.7616 c=4.7616 alpha=90.00 beta=90.00 gamma=90.00
Atoms (fractional coordinates):
Pa1 0.0000 0.0000 0.5000
Pa2 0.0000 0.5000 0.0000
Os1 0.5000 0.5000 0.5000
Ti1 0.5000 0.0000 0.0000

=====

Most stable structure: x)

=====

w) Crystalline Pa2TlOs at its relaxed geometry, computed with GGA-PBE.

Properties
spin magnetization = 0.001 μB per atom
symmetry = No. 123

Unit cell a=3.1863 b=3.1863 c=8.9898 alpha=90.00 beta=90.00 gamma=90.00
Atoms (fractional coordinates):
Tl1 0.5000 0.5000 0.5000
Pa1 0.0000 0.0000 0.7879
Pa2 0.0000 0.0000 0.2121
Os1 0.5000 0.5000 0.0000

=====

x) Crystalline Pa2TlOs at its relaxed geometry, computed with GGA-PBE.

Properties
spin magnetization = 0.184 μB per atom
symmetry = No. 166

Unit cell a=3.7595 b=3.7595 c=10.1742 alpha=79.35 beta=79.35 gamma=60.00
Last column: magnetic moment on the atom in μB.
Atoms (fractional coordinates):
Tl1 0.0000 0.0000 0.0000  0.00
Pa1 0.1110 0.1110 0.6671  0.29
Pa2 0.8890 0.8890 0.3329  0.29
Os1 0.5000 0.5000 0.5000  -0.03

=====

Most stable structure: w)

=====

w) Crystalline TmPaOs at its relaxed geometry, computed with GGA-PBE.

Properties
spin magnetization = 0.000 μB per atom
symmetry = No. 156

Unit cell a=3.1766 b=4.7791 c=4.7791 alpha=120.00 beta=90.00 gamma=90.00
Atoms (fractional coordinates):
Tm1 0.6704 0.6667 0.3333
Pa1 0.3035 0.3333 0.6667
Os1 0.0262 0.0000 0.0000

=====

x) Crystalline TmPaOs at its relaxed geometry, computed with GGA-PBE.

Properties
spin magnetization = 0.001 μB per atom
symmetry = No. 216

Unit cell a=4.7490 b=4.7490 c=4.7490 alpha=60.00 beta=60.00 gamma=60.00
Atoms (fractional coordinates):
Tm1 0.5000 0.5000 0.5000
Pa1 0.0000 0.0000 0.0000
Os1 0.2500 0.2500 0.2500

=====

Most stable structure: x)

=====

w) Crystalline TmPa2Os at its relaxed geometry, computed with GGA-PBE.

Properties
spin magnetization = 0.000 μB per atom
symmetry = No. 123

Unit cell a=3.6409 b=3.6409 c=7.2975 alpha=90.00 beta=90.00 gamma=90.00
Atoms (fractional coordinates):
Tm1 0.5000 0.5000 0.5000
Pa1 0.0000 0.0000 0.8058
Pa2 0.0000 0.0000 0.1942
Os1 0.5000 0.5000 0.0000

=====

x) Crystalline TmPa2Os at its relaxed geometry, computed with GGA-PBE.

Properties
spin magnetization = 0.301 μB per atom
symmetry = No. 166

Unit cell a=3.6006 b=3.6006 c=10.1450 alpha=79.78 beta=79.78 gamma=60.00
Last column: magnetic moment on the atom in μB.
Atoms (fractional coordinates):
Tm1 0.0000 0.0000 0.0000  0.09
Pa1 0.1065 0.1065 0.6804  0.44
Pa2 0.8935 0.8935 0.3196  0.44
Os1 0.5000 0.5000 0.5000  -0.04

=====

Most stable structure: w)

=====

w) Crystalline UPaOs2 at its relaxed geometry, computed with GGA-PBE.

Properties
spin magnetization = 0.269 μB per atom
symmetry = No. 166

Unit cell a=3.0100 b=3.0100 c=9.6784 alpha=81.05 beta=81.05 gamma=60.00
Last column: magnetic moment on the atom in μB.
Atoms (fractional coordinates):
Os1 0.7522 0.7522 0.7435  -0.04
Os2 0.2478 0.2478 0.2565  -0.04
Pa1 0.0000 0.0000 0.0000  0.12
U1 0.5000 0.5000 0.5000  0.96

=====

x) Crystalline UPaOs2 at its relaxed geometry, computed with GGA-PBE.

Properties
spin magnetization = 0.485 μB per atom
symmetry = No. 225

Unit cell a=4.8293 b=4.8293 c=4.8293 alpha=60.00 beta=60.00 gamma=60.00
Last column: magnetic moment on the atom in μB.
Atoms (fractional coordinates):
Os1 0.2500 0.2500 0.2500  -0.18
Os2 0.7500 0.7500 0.7500  -0.18
Pa1 0.0000 0.0000 0.0000  0.33
U1 0.5000 0.5000 0.5000  1.70

=====

Most stable structure: x)

=====

w) Crystalline Pa2VOs at its relaxed geometry, computed with GGA-PBE.

Properties
spin magnetization = 0.291 μB per atom
symmetry = No. 123

Unit cell a=3.6152 b=4.7332 c=4.7332 alpha=90.00 beta=90.00 gamma=90.00
Last column: magnetic moment on the atom in μB.
Atoms (fractional coordinates):
Pa1 0.0000 0.0000 0.5000  0.05
Pa2 0.0000 0.5000 0.0000  0.05
Os1 0.5000 0.5000 0.5000  0.01
V1 0.5000 0.0000 0.0000  0.94

=====

x) Crystalline Pa2VOs at its relaxed geometry, computed with GGA-PBE.

Properties
spin magnetization = 0.002 μB per atom
symmetry = No. 166

Unit cell a=3.0065 b=3.0065 c=10.1185 alpha=81.46 beta=81.46 gamma=60.00
Atoms (fractional coordinates):
Pa1 0.0869 0.0869 0.7392
Pa2 0.9131 0.9131 0.2608
Os1 0.5000 0.5000 0.5000
V1 0.0000 0.0000 0.0000

=====

Most stable structure: w)

=====

w) Crystalline PaOs2W at its relaxed geometry, computed with GGA-PBE.

Properties
spin magnetization = 0.000 μB per atom
symmetry = No. 166

Unit cell a=4.2490 b=4.2490 c=5.5312 alpha=67.41 beta=67.41 gamma=60.00
Atoms (fractional coordinates):
Pa1 0.0000 0.0000 0.0000
Os1 0.7789 0.7789 0.6634
Os2 0.2211 0.2211 0.3366
W1 0.5000 0.5000 0.5000

=====

x) Crystalline PaOs2W at its relaxed geometry, computed with GGA-PBE.

Properties
spin magnetization = 0.000 μB per atom
symmetry = No. 123

Unit cell a=3.0538 b=3.0538 c=7.5016 alpha=90.00 beta=90.00 gamma=90.00
Atoms (fractional coordinates):
Pa1 0.5000 0.5000 0.5000
Os1 0.0000 0.0000 0.7880
Os2 0.0000 0.0000 0.2120
W1 0.5000 0.5000 0.0000

=====

Most stable structure: x)

=====

w) Crystalline YPaOs2 at its relaxed geometry, computed with GGA-PBE.

Properties
spin magnetization = 0.000 μB per atom
symmetry = No. 13

Unit cell a=5.9605 b=5.8338 c=10.3533 alpha=102.10 beta=90.00 gamma=90.00
Atoms (fractional coordinates):
Y1 0.3601 0.0455 0.3509
Y2 0.6399 0.9545 0.6491
Y3 0.3601 0.4545 0.1491
Y4 0.6399 0.5455 0.8509
Pa1 0.1378 0.4576 0.6470
Pa2 0.8622 0.5424 0.3530
Pa3 0.1378 0.0424 0.8530
Pa4 0.8622 0.9576 0.1470
Os1 0.6696 0.0799 0.9479
Os2 0.3304 0.9201 0.0521
Os3 0.6696 0.4201 0.5521
Os4 0.3304 0.5799 0.4479
Os5 0.8662 0.4562 0.0997
Os6 0.1338 0.5438 0.9003
Os7 0.8662 0.0438 0.4003
Os8 0.1338 0.9562 0.5997

=====

x) Crystalline YPaOs2 at its relaxed geometry, computed with GGA-PBE.

Properties
spin magnetization = 0.000 μB per atom
symmetry = No. 166

Unit cell a=4.6315 b=4.6315 c=5.2222 alpha=63.68 beta=63.68 gamma=60.00
Atoms (fractional coordinates):
Y1 0.0000 0.0000 0.0000
Pa1 0.5000 0.5000 0.5000
Os1 0.7736 0.7736 0.6792
Os2 0.2264 0.2264 0.3208

=====

Most stable structure: w)